P) Below is a geometry-optimized ScHg3Se structure, with properties calculated at the GGA-PBE level.

Values from the calculation:
- Symmetry: Pm-3m, No. 221
- Theoretical density: 7.8 g/cm3
- DOS at the Fermi energy: 1.0632 states/eV per atom

Unit cell a=5.3627 b=5.3627 c=5.3627 alpha=90.00 beta=90.00 gamma=90.00
With the nearest neighbours (Å) after each atom.
Element x y z (fractional)
1 Sc 0.0000 0.0000 0.0000  12 Hg 3.79
2 Hg 0.0000 0.5000 0.5000  2 Se 2.68
3 Hg 0.5000 0.0000 0.5000  2 Se 2.68
4 Hg 0.5000 0.5000 0.0000  2 Se 2.68
5 Se 0.5000 0.5000 0.5000  6 Hg 2.68

Q) Below is a geometry-optimized ScHg3Se structure, with properties calculated at the GGA-PBE level.

Values from the calculation:
- Symmetry: Pm-3m, No. 221
- Theoretical density: 7.1 g/cm3
- DOS at the Fermi energy: 0.8498 states/eV per atom

Unit cell a=5.5355 b=5.5355 c=5.5355 alpha=90.00 beta=90.00 gamma=90.00
With the nearest neighbours (Å) after each atom.
Element x y z (fractional)
1 Sc 0.0000 0.0000 0.0000  6 Hg 2.77
2 Hg 0.0000 0.0000 0.5000  2 Sc 2.77
3 Hg 0.0000 0.5000 0.0000  2 Sc 2.77
4 Hg 0.5000 0.0000 0.0000  2 Sc 2.77
5 Se 0.5000 0.5000 0.5000  12 Hg 3.91

Which of them is the most stable? Correct choice: Q).

P) Below is a geometry-optimized Sc2SiHg2 structure, with properties calculated at the GGA-PBE level.

Values from the calculation:
- Symmetry: P4/mbm, No. 127
- Theoretical density: 7.6 g/cm3
- DOS at the Fermi energy: 0.6272 states/eV per atom

Unit cell a=7.1207 b=7.1207 c=4.4558 alpha=90.00 beta=90.00 gamma=90.00
With the nearest neighbours (Å) after each atom.
Element x y z (fractional)
1 Sc 0.1598 0.3402 0.0000  2 Si 2.68, 2 Hg 2.94
2 Sc 0.3402 0.8402 0.0000  2 Si 2.68, 2 Hg 2.94
3 Sc 0.6598 0.1598 0.0000  2 Si 2.68, 2 Hg 2.94
4 Sc 0.8402 0.6598 0.0000  2 Si 2.68, 2 Hg 2.94
5 Si 0.0000 0.0000 0.0000  4 Sc 2.68
6 Si 0.5000 0.5000 0.0000  4 Sc 2.68
7 Hg 0.1495 0.6495 0.5000  6 Sc 2.94-3.13, 1 Hg 3.01
8 Hg 0.3505 0.1495 0.5000  6 Sc 2.94-3.13, 1 Hg 3.01
9 Hg 0.6495 0.8505 0.5000  6 Sc 2.94-3.13, 1 Hg 3.01
10 Hg 0.8505 0.3505 0.5000  6 Sc 2.94-3.13, 1 Hg 3.01

Q) Below is a geometry-optimized Sc2SiHg2 structure, with properties calculated at the GGA-PBE level.

Values from the calculation:
- Symmetry: P4/mbm, No. 127
- Theoretical density: 8.1 g/cm3
- DOS at the Fermi energy: 0.5058 states/eV per atom

Unit cell a=7.0071 b=7.0071 c=4.3254 alpha=90.00 beta=90.00 gamma=90.00
With the nearest neighbours (Å) after each atom.
Element x y z (fractional)
1 Sc 0.1662 0.3338 0.0000  6 Hg 2.89-3.06
2 Sc 0.3338 0.8338 0.0000  6 Hg 2.89-3.06
3 Sc 0.6662 0.1662 0.0000  6 Hg 2.89-3.06
4 Sc 0.8338 0.6662 0.0000  6 Hg 2.89-3.06
5 Si 0.0000 0.0000 0.5000  4 Hg 2.70
6 Si 0.5000 0.5000 0.5000  4 Hg 2.70
7 Hg 0.1410 0.6410 0.5000  2 Si 2.70, 1 Hg 2.79, 2 Sc 2.89
8 Hg 0.3590 0.1410 0.5000  2 Si 2.70, 1 Hg 2.79, 2 Sc 2.89
9 Hg 0.6410 0.8590 0.5000  2 Si 2.70, 1 Hg 2.79, 2 Sc 2.89
10 Hg 0.8590 0.3590 0.5000  2 Si 2.70, 1 Hg 2.79, 2 Sc 2.89

Which of them is the most stable? Correct choice: Q).

P) Below is a geometry-optimized ScSi2Hg2 structure, with properties calculated at the GGA-PBE level.

Values from the calculation:
- Symmetry: I4/mmm, No. 139
- Theoretical density: 8.0 g/cm3
- DOS at the Fermi energy: 0.6783 states/eV per atom

Unit cell a=9.0392 b=9.0392 c=9.0392 alpha=157.94 beta=157.94 gamma=31.40
With the nearest neighbours (Å) after each atom.
Element x y z (fractional)
1 Sc 0.0000 0.0000 0.0000  8 Hg 3.07
2 Si 0.2500 0.7500 0.5000  4 Si 2.45
3 Si 0.7500 0.2500 0.5000  4 Si 2.45
4 Hg 0.3936 0.3936 0.0000  4 Si 3.04, 4 Sc 3.07
5 Hg 0.6064 0.6064 0.0000  4 Si 3.04, 4 Sc 3.07

Q) Below is a geometry-optimized ScSi2Hg2 structure, with properties calculated at the GGA-PBE level.

Values from the calculation:
- Symmetry: P4/mbm, No. 127
- Theoretical density: 8.2 g/cm3
- DOS at the Fermi energy: 0.5409 states/eV per atom

Unit cell a=7.0221 b=7.0221 c=4.1403 alpha=90.00 beta=90.00 gamma=90.00
With the nearest neighbours (Å) after each atom.
Element x y z (fractional)
1 Sc 0.0000 0.0000 0.0000  4 Si 2.80
2 Sc 0.5000 0.5000 0.0000  4 Si 2.80
3 Si 0.1190 0.3810 0.0000  1 Si 2.36
4 Si 0.3810 0.8810 0.0000  1 Si 2.36
5 Si 0.6190 0.1190 0.0000  1 Si 2.36
6 Si 0.8810 0.6190 0.0000  1 Si 2.36
7 Hg 0.1881 0.6881 0.5000  6 Si 2.82-3.03
8 Hg 0.3119 0.1881 0.5000  6 Si 2.82-3.03
9 Hg 0.6881 0.8119 0.5000  6 Si 2.82-3.03
10 Hg 0.8119 0.3119 0.5000  6 Si 2.82-3.03

Which of them is the most stable? Correct choice: Q).

P) Below is a geometry-optimized Sm2ScHg structure, with properties calculated at the GGA-PBE level.

Values from the calculation:
- Symmetry: R-3m, No. 166
- Theoretical density: 7.7 g/cm3
- DOS at the Fermi energy: 1.6856 states/eV per atom

Unit cell a=11.8108 b=11.8108 c=11.8108 alpha=16.61 beta=16.61 gamma=16.61
With the nearest neighbours (Å) after each atom.
Element x y z (fractional)
1 Sm 0.0922 0.0922 0.0922  1 Sc 3.22, 3 Hg 3.26, 6 Sm 3.41
2 Sm 0.9078 0.9078 0.9078  1 Sc 3.22, 3 Hg 3.26, 6 Sm 3.41
3 Sc 0.0000 0.0000 0.0000  2 Sm 3.22, 6 Sc 3.41
4 Hg 0.5000 0.5000 0.5000  6 Sm 3.26, 6 Hg 3.41

Q) Below is a geometry-optimized Sm2ScHg structure, with properties calculated at the GGA-PBE level.

Values from the calculation:
- Symmetry: P4/mmm, No. 123
- Theoretical density: 8.0 g/cm3
- DOS at the Fermi energy: 1.5219 states/eV per atom

Unit cell a=3.6640 b=3.6640 c=8.4579 alpha=90.00 beta=90.00 gamma=90.00
With the nearest neighbours (Å) after each atom.
Element x y z (fractional)
1 Sm 0.0000 0.0000 0.2384  4 Hg 3.28, 4 Sc 3.41, 4 Sm 3.66
2 Sm 0.0000 0.0000 0.7616  4 Hg 3.28, 4 Sc 3.41, 4 Sm 3.66
3 Sc 0.5000 0.5000 0.5000  8 Sm 3.41, 4 Sc 3.66
4 Hg 0.5000 0.5000 0.0000  8 Sm 3.28, 4 Hg 3.66

R) Below is a geometry-optimized Sm2ScHg structure, with properties calculated at the GGA-PBE level.

Values from the calculation:
- Symmetry: Fm-3m, No. 225
- Theoretical density: 8.2 g/cm3
- DOS at the Fermi energy: 1.5106 states/eV per atom

Unit cell a=5.3927 b=5.3927 c=5.3927 alpha=60.00 beta=60.00 gamma=60.00
With the nearest neighbours (Å) after each atom.
Element x y z (fractional)
1 Sm 0.2500 0.2500 0.2500  4 Hg 3.30, 4 Sc 3.30
2 Sm 0.7500 0.7500 0.7500  4 Hg 3.30, 4 Sc 3.30
3 Sc 0.0000 0.0000 0.0000  8 Sm 3.30
4 Hg 0.5000 0.5000 0.5000  8 Sm 3.30

Which of them is the most stable? Correct choice: Q).

P) Below is a geometry-optimized Sm2ScHg structure, with properties calculated at the GGA-PBE level.

Values from the calculation:
- Symmetry: R3m, No. 160
- Theoretical density: 7.8 g/cm3
- DOS at the Fermi energy: 1.3635 states/eV per atom

Unit cell a=10.6410 b=10.6410 c=10.6410 alpha=19.46 beta=19.46 gamma=19.46
With the nearest neighbours (Å) after each atom.
Element x y z (fractional)
1 Sm 0.0000 0.0000 0.0000  3 Hg 3.27, 3 Sc 3.39, 6 Sm 3.60
2 Sm 0.1719 0.1719 0.1719  3 Hg 3.27, 3 Sc 3.40, 6 Sm 3.60
3 Sc 0.4191 0.4191 0.4191  6 Sm 3.39-3.40, 6 Sc 3.60
4 Hg 0.5859 0.5859 0.5859  6 Sm 3.27, 6 Hg 3.60

Q) Below is a geometry-optimized Sm2ScHg structure, with properties calculated at the GGA-PBE level.

Values from the calculation:
- Symmetry: P4/mmm, No. 123
- Theoretical density: 8.2 g/cm3
- DOS at the Fermi energy: 1.3251 states/eV per atom

Unit cell a=5.4905 b=5.4905 c=3.6767 alpha=90.00 beta=90.00 gamma=90.00
With the nearest neighbours (Å) after each atom.
Element x y z (fractional)
1 Sm 0.0000 0.5000 0.0000  4 Hg 3.30, 4 Sc 3.30, 2 Sm 3.68
2 Sm 0.5000 0.0000 0.0000  4 Hg 3.30, 4 Sc 3.30, 2 Sm 3.68
3 Sc 0.0000 0.0000 0.5000  8 Sm 3.30, 2 Sc 3.68
4 Hg 0.5000 0.5000 0.5000  8 Sm 3.30, 2 Hg 3.68

Which of them is the most stable? Correct choice: Q).

P) Below is a geometry-optimized Sm2ScHg4 structure, with properties calculated at the GGA-PBE level.

Values from the calculation:
- Symmetry: R-3m, No. 166
- Theoretical density: 9.8 g/cm3
- DOS at the Fermi energy: 0.7392 states/eV per atom

Unit cell a=9.7771 b=9.7771 c=9.7771 alpha=28.97 beta=28.97 gamma=28.97
With the nearest neighbours (Å) after each atom.
Element x y z (fractional)
1 Sm 0.2466 0.2466 0.2466  8 Hg 3.13-3.35
2 Sm 0.7534 0.7534 0.7534  8 Hg 3.13-3.35
3 Sc 0.0000 0.0000 0.0000  6 Hg 2.97
4 Hg 0.1347 0.1347 0.1347  4 Sm 3.13-3.14, 3 Hg 3.35
5 Hg 0.3658 0.3658 0.3658  3 Sc 2.97, 3 Sm 3.21
6 Hg 0.6342 0.6342 0.6342  3 Sc 2.97, 3 Sm 3.21
7 Hg 0.8653 0.8653 0.8653  4 Sm 3.13-3.14, 3 Hg 3.35

Q) Below is a geometry-optimized Sm2ScHg4 structure, with properties calculated at the GGA-PBE level.

Values from the calculation:
- Symmetry: I4/mmm, No. 139
- Theoretical density: 8.5 g/cm3
- DOS at the Fermi energy: 1.0133 states/eV per atom

Unit cell a=8.5878 b=8.5878 c=8.5878 alpha=143.32 beta=143.32 gamma=52.84
With the nearest neighbours (Å) after each atom.
Element x y z (fractional)
1 Sm 0.1111 0.1111 0.0000  5 Hg 3.10-3.20, 1 Sm 3.42
2 Sm 0.8889 0.8889 0.0000  5 Hg 3.10-3.20, 1 Sm 3.42
3 Sc 0.5000 0.5000 0.0000  6 Hg 2.70-2.88
4 Hg 0.0000 0.5000 0.5000  2 Sc 2.70
5 Hg 0.3127 0.3127 0.0000  1 Sc 2.88, 1 Sm 3.10
6 Hg 0.5000 0.0000 0.5000  2 Sc 2.70
7 Hg 0.6873 0.6873 0.0000  1 Sc 2.88, 1 Sm 3.10

Which of them is the most stable? Correct choice: P).